# Cd2InRh | the Alexandria database | GGA-PBEsol | relaxed
# D(E_F) = 0.2715 states/eV/atom
# Calculated formation energy = -149 meV/atom
# Volume = 17.87 Å³/atom
data_Cd2InRh
_symmetry_space_group_name_H-M 'I m m m'
_symmetry_Int_Tables_number 71
_symmetry_space_group_name_Hall '-I 2 2'
_cell_length_a 3.956
_cell_length_b 4.021
_cell_length_c 8.987
_cell_angle_alpha 90.00
_cell_angle_beta 90.00
_cell_angle_gamma 90.00
loop_
_atom_site_label
_atom_site_type_symbol
_atom_site_fract_x
_atom_site_fract_y
_atom_site_fract_z
Cd1 Cd 0.000 0.000 0.249
In1 In 0.000 0.500 0.000
Rh1 Rh 0.000 0.500 0.500

# NdCoSi | the Alexandria database | GGA-PBEsol | relaxed
# D(E_F) = 0.5090 states/eV/atom
# E_form (uncorrected) = -735 meV/atom
# Volume = 18.25 Å³/atom
data_NdCoSi
_symmetry_space_group_name_H-M 'P 4/n m m'
_symmetry_Int_Tables_number 129
_cell_length_a 3.962
_cell_length_b 3.962
_cell_length_c 6.976
_cell_angle_alpha 90.00
_cell_angle_beta 90.00
_cell_angle_gamma 90.00
loop_
_symmetry_equiv_pos_as_xyz
'x,y,z'
'-x,-y,-z'
'-y+1/2,x,z'
'y+1/2,-x,-z'
'-x+1/2,-y+1/2,z'
'x+1/2,y+1/2,-z'
'y,-x+1/2,z'
'-y,x+1/2,-z'
'x+1/2,-y,-z'
'-x+1/2,y,z'
'-y,-x,-z'
'y,x,z'
'-x,y+1/2,-z'
'x,-y+1/2,z'
'y+1/2,x+1/2,-z'
'-y+1/2,-x+1/2,z'
loop_
_atom_site_label
_atom_site_type_symbol
_atom_site_fract_x
_atom_site_fract_y
_atom_site_fract_z
Nd1 Nd 0.250 0.250 0.184
Co1 Co 0.250 0.750 0.500
Si1 Si 0.250 0.250 0.668

# Cs3Nb2AsSe11 | the Alexandria database | GGA-PBEsol | relaxed
# E_form (uncorrected) = -747 meV/atom
# Volume = 30.69 Å³/atom
data_Cs3Nb2AsSe11
_symmetry_space_group_name_H-M 'C 1 c 1'
_symmetry_Int_Tables_number 9
_symmetry_space_group_name_Hall 'C -2yc'
_cell_length_a 15.082
_cell_length_b 13.849
_cell_length_c 10.070
_cell_angle_alpha 90.00
_cell_angle_beta 97.21
_cell_angle_gamma 90.00
loop_
_atom_site_label
_atom_site_type_symbol
_atom_site_fract_x
_atom_site_fract_y
_atom_site_fract_z
Cs1 Cs 0.000 0.072 0.000
Cs2 Cs 0.104 0.423 0.766
Cs3 Cs 0.251 0.072 0.664
Nb1 Nb 0.195 0.234 0.275
Nb2 Nb 0.375 0.307 0.086
As1 As 0.462 0.176 0.821
Se1 Se 0.027 0.163 0.664
Se2 Se 0.083 0.313 0.093
Se3 Se 0.109 0.335 0.438
Se4 Se 0.129 0.087 0.331
Se5 Se 0.203 0.218 0.017
Se6 Se 0.289 0.467 0.033
Se7 Se 0.297 0.407 0.255
Se8 Se 0.320 0.262 0.476
Se9 Se 0.364 0.177 0.287
Se10 Se 0.381 0.122 0.009
Se11 Se 0.395 0.332 0.832

# LaYCd2 | the Alexandria database | GGA-PBEsol | relaxed
# D(E_F) = 1.2687 states/eV/atom
# Excess energy over the best structure of this formula in the dataset = 0 meV/atom
# Calculated formation energy = -341 meV/atom
# Volume = 26.72 Å³/atom
data_LaYCd2
_symmetry_space_group_name_H-M 'P 4/m m m'
_symmetry_Int_Tables_number 123
_symmetry_space_group_name_Hall '-P 4 2'
_cell_length_a 3.686
_cell_length_b 3.686
_cell_length_c 7.868
_cell_angle_alpha 90.00
_cell_angle_beta 90.00
_cell_angle_gamma 90.00
loop_
_atom_site_label
_atom_site_type_symbol
_atom_site_fract_x
_atom_site_fract_y
_atom_site_fract_z
La1 La 0.000 0.000 0.000
Y1 Y 0.000 0.000 0.500
Cd1 Cd 0.500 0.500 0.273

# LiCd2Pd | the Alexandria database | GGA-PBEsol | relaxed
# D(E_F) = 0.3082 states/eV/atom
# Calculated formation energy = -410 meV/atom
# Volume = 16.67 Å³/atom
data_LiCd2Pd
_symmetry_space_group_name_H-M 'F m -3 m'
_symmetry_Int_Tables_number 225
_symmetry_space_group_name_Hall '-F 4 2 3'
_cell_length_a 6.436
_cell_length_b 6.436
_cell_length_c 6.436
_cell_angle_alpha 90.00
_cell_angle_beta 90.00
_cell_angle_gamma 90.00
loop_
_atom_site_label
_atom_site_type_symbol
_atom_site_fract_x
_atom_site_fract_y
_atom_site_fract_z
Li1 Li 0.000 0.000 0.000
Cd1 Cd 0.250 0.250 0.250
Pd1 Pd 0.000 0.000 0.500

# CsPd3N | the Alexandria database | GGA-PBEsol | relaxed
# D(E_F) = 0.8268 states/eV/atom
# E_form (uncorrected) = 498 meV/atom
# Volume = 16.67 Å³/atom
data_CsPd3N
_symmetry_space_group_name_H-M 'P m -3 m'
_symmetry_Int_Tables_number 221
_symmetry_space_group_name_Hall '-P 4 2 3'
_cell_length_a 4.368
_cell_length_b 4.368
_cell_length_c 4.368
_cell_angle_alpha 90.00
_cell_angle_beta 90.00
_cell_angle_gamma 90.00
loop_
_atom_site_label
_atom_site_type_symbol
_atom_site_fract_x
_atom_site_fract_y
_atom_site_fract_z
Cs1 Cs 0.000 0.000 0.000
Pd1 Pd 0.000 0.500 0.500
N1 N 0.500 0.500 0.500

# MnZnCo2 | the Alexandria database | GGA-PBEsol | relaxed
# D(E_F) = 0.8348 states/eV/atom
# Calculated formation energy = 82 meV/atom
# Volume = 11.50 Å³/atom
data_MnZnCo2
_symmetry_space_group_name_H-M 'P m m 2'
_symmetry_Int_Tables_number 25
_symmetry_space_group_name_Hall 'P 2 -2'
_cell_length_a 2.596
_cell_length_b 3.461
_cell_length_c 5.119
_cell_angle_alpha 90.00
_cell_angle_beta 90.00
_cell_angle_gamma 90.00
loop_
_atom_site_label
_atom_site_type_symbol
_atom_site_fract_x
_atom_site_fract_y
_atom_site_fract_z
Mn1 Mn 0.000 0.000 0.000
Zn1 Zn 0.500 0.500 0.269
Co1 Co 0.000 0.000 0.527
Co2 Co 0.500 0.500 0.754

# CsHfO2 | the Alexandria database | GGA-PBEsol | relaxed
# D(E_F) = 0.9534 states/eV/atom
# E_form (uncorrected) = -1343 meV/atom
# Volume = 23.90 Å³/atom
data_CsHfO2
_symmetry_space_group_name_H-M 'R -3 m'
_symmetry_Int_Tables_number 166
_symmetry_space_group_name_Hall '-R 3 2"'
_cell_length_a 3.7816
_cell_length_b 3.7816
_cell_length_c 23.1591
_cell_angle_alpha 90.00
_cell_angle_beta 90.00
_cell_angle_gamma 120.00
loop_
_atom_site_label
_atom_site_type_symbol
_atom_site_fract_x
_atom_site_fract_y
_atom_site_fract_z
Cs1 Cs 0.0000 0.0000 0.0000
Hf1 Hf 0.0000 0.0000 0.5000
O1 O 0.0000 0.0000 0.4184

# KCdIn | the Alexandria database | GGA-PBEsol | relaxed
# D(E_F) = 0.5014 states/eV/atom
# Excess energy over the best structure of this formula in the dataset = 90 meV/atom
# Calculated formation energy = -17 meV/atom
# Volume = 30.26 Å³/atom
data_KCdIn
_symmetry_space_group_name_H-M 'C 1 m 1'
_symmetry_Int_Tables_number 8
_symmetry_space_group_name_Hall 'C -2y'
_cell_length_a 12.699
_cell_length_b 4.439
_cell_length_c 3.337
_cell_angle_alpha 90.00
_cell_angle_beta 105.17
_cell_angle_gamma 90.00
loop_
_atom_site_label
_atom_site_type_symbol
_atom_site_fract_x
_atom_site_fract_y
_atom_site_fract_z
K1 K 0.000 0.000 0.000
Cd1 Cd 0.298 0.000 0.298
In1 In 0.201 0.500 0.701

# Tl2InW | the Alexandria database | GGA-PBEsol | relaxed
# D(E_F) = 0.5367 states/eV/atom
# Excess energy over the best structure of this formula in the dataset = 228 meV/atom
# Calculated formation energy = 834 meV/atom
# Volume = 20.95 Å³/atom
data_Tl2InW
_symmetry_space_group_name_H-M 'I m m 2'
_symmetry_Int_Tables_number 44
_symmetry_space_group_name_Hall 'I 2 -2'
_cell_length_a 3.760
_cell_length_b 4.666
_cell_length_c 9.555
_cell_angle_alpha 90.00
_cell_angle_beta 90.00
_cell_angle_gamma 90.00
loop_
_atom_site_label
_atom_site_type_symbol
_atom_site_fract_x
_atom_site_fract_y
_atom_site_fract_z
Tl1 Tl 0.000 0.000 0.000
Tl2 Tl 0.000 0.500 0.236
In1 In 0.000 0.500 0.763
W1 W 0.000 0.000 0.495

# AsBr2Cl | the Alexandria database | GGA-PBEsol | relaxed
# D(E_F) = 0.0000 states/eV/atom
# E_form (uncorrected) = -440 meV/atom
# Excess energy over the best structure of this formula in the dataset = 3 meV/atom
# Volume = 34.16 Å³/atom
data_AsBr2Cl
_symmetry_space_group_name_H-M 'P 1 m 1'
_symmetry_Int_Tables_number 6
_symmetry_space_group_name_Hall 'P -2y'
_cell_length_a 6.167
_cell_length_b 3.711
_cell_length_c 6.352
_cell_angle_alpha 90.00
_cell_angle_beta 109.96
_cell_angle_gamma 90.00
loop_
_atom_site_label
_atom_site_type_symbol
_atom_site_fract_x
_atom_site_fract_y
_atom_site_fract_z
As1 As 0.000 0.000 0.000
Br1 Br 0.232 0.500 0.290
Br2 Br 0.684 0.000 0.121
Cl1 Cl 0.847 0.500 0.718

# Nd2ZnIr | the Alexandria database | GGA-PBEsol | relaxed
# D(E_F) = 0.5192 states/eV/atom
# Calculated formation energy = -434 meV/atom
# Volume = 22.30 Å³/atom
data_Nd2ZnIr
_symmetry_space_group_name_H-M 'F m -3 m'
_symmetry_Int_Tables_number 225
_symmetry_space_group_name_Hall '-F 4 2 3'
_cell_length_a 7.092
_cell_length_b 7.092
_cell_length_c 7.092
_cell_angle_alpha 90.00
_cell_angle_beta 90.00
_cell_angle_gamma 90.00
loop_
_atom_site_label
_atom_site_type_symbol
_atom_site_fract_x
_atom_site_fract_y
_atom_site_fract_z
Nd1 Nd 0.250 0.250 0.250
Zn1 Zn 0.000 0.000 0.000
Ir1 Ir 0.000 0.000 0.500

# ScSe2N | the Alexandria database | GGA-PBEsol | relaxed
# D(E_F) = 0.7635 states/eV/atom
# E_form (uncorrected) = 56 meV/atom
# Volume = 21.10 Å³/atom
data_ScSe2N
_symmetry_space_group_name_H-M 'R -3 m'
_symmetry_Int_Tables_number 166
_symmetry_space_group_name_Hall '-R 3 2"'
_cell_length_a 3.8673
_cell_length_b 3.8673
_cell_length_c 19.5486
_cell_angle_alpha 90.00
_cell_angle_beta 90.00
_cell_angle_gamma 120.00
loop_
_atom_site_label
_atom_site_type_symbol
_atom_site_fract_x
_atom_site_fract_y
_atom_site_fract_z
Sc1 Sc 0.0000 0.0000 0.0000
Se1 Se 0.0000 0.0000 0.4095
N1 N 0.0000 0.0000 0.5000